A plane-wave DFT calculation with PBE+U was carried out for crystalline TiMoNF2 at its relaxed geometry.

Summary:
Raw total energy = -30.252 eV for the cell shown
Density of states at the Fermi level = 5.225 states/eV/f.u.
E above lowest polymorph = 0.6162 eV per atom

a b c (Å): 4.147 4.147 4.224
angles (deg): 90.00 90.00 90.00
Fractional positions:
1 Ti 0.000 0.000 0.000
2 Mo 0.500 0.500 0.500
3 N 0.500 0.500 0.000
4 F 0.000 0.500 0.500
5 F 0.500 0.000 0.500